Here is an optimized crystal structure of PmPrZnPd from Alexandria via LeMat-Bulk. Energies are from GGA-PBE.

Structure (POSCAR):
```
PmPrZnPd
1.0
-0.546 3.158 -2.321
-2.106 -2.644 -3.101
-4.618 -0.598 3.646
Pd Pm Zn Pr
1 1 1 1
Cartesian
-4.191 0.840 2.130
-4.836 0.960 -0.928
-2.034 0.398 -2.352
-1.374 0.276 0.698
```

Properties
Total moment   0.00 Bohr magnetons per cell
Symmetry   Amm2, No. 38
E_tot   -18.134 eV per cell
Relative energy among the computed polymorphs   0 meV/atom
ΔH_f (0 K)   -2.1 eV per formula unit
Calculated volume   25.30 Å³/atom
DOS at the Fermi energy   3.8 states/eV/cell
ρ   7.5 g cm⁻³

=====

Here is an optimized crystal structure of PmPrZnPd from Alexandria via LeMat-Bulk. Energies are from GGA-PBE.

Structure (POSCAR):
```
PmPrZnPd
1.0
5.174 0.000 0.000
2.587 4.481 0.000
2.587 1.494 4.225
Zn Pm Pd Pr
1 1 1 1
Cartesian
5.174 2.987 2.112
2.587 1.494 1.056
0.000 0.000 0.000
7.761 4.481 3.168
```

Properties
Total moment   0.00 Bohr magnetons per cell
Symmetry   F-43m, No. 216
E_tot   -17.988 eV per cell
Relative energy among the computed polymorphs   37 meV/atom
ΔH_f (0 K)   -2.0 eV per formula unit
Calculated volume   24.48 Å³/atom
DOS at the Fermi energy   3.1 states/eV/cell
ρ   7.8 g cm⁻³

=====

Here is an optimized crystal structure of Pm5Pd2Pt2 from Alexandria via LeMat-Bulk. Energies are from GGA-PBE.

Structure (POSCAR):
```
Pm5Pd2Pt2
1.0
-5.926 -3.935 -1.080
4.055 -6.280 0.629
-0.568 5.001 8.862
Pd Pm Pt
4 10 4
Cartesian
-3.801 -2.235 6.856
-2.756 -2.161 0.848
0.740 -3.706 7.628
1.785 -3.632 1.620
-4.200 -4.637 0.495
2.056 -2.722 4.774
-2.076 0.124 2.321
-2.673 0.082 5.755
-0.506 2.936 7.564
-1.478 -3.610 5.917
0.656 -0.778 7.721
-1.307 -7.203 0.967
-0.880 -3.568 2.483
-4.452 -2.557 3.643
-1.291 -4.556 -0.281
-0.956 -6.010 4.209
-0.275 -1.072 4.388
3.699 -5.729 0.574
```

Properties
Total moment   0.00 Bohr magnetons per cell
Symmetry   Ima2, No. 46
E_tot   -107.066 eV per cell
Relative energy among the computed polymorphs   57 meV/atom
ΔH_f (0 K)   -7.3 eV per formula unit
Calculated volume   26.29 Å³/atom
DOS at the Fermi energy   15.5 states/eV/cell
ρ   9.3 g cm⁻³

=====

Here is an optimized crystal structure of PmPdPt2 from Alexandria via LeMat-Bulk. Energies are from GGA-PBE.

Structure (POSCAR):
```
PmPdPt2
1.0
4.240 0.000 0.000
0.000 4.151 0.000
0.000 0.000 4.151
Pt Pm Pd
2 1 1
Cartesian
0.000 2.076 0.000
0.000 0.000 2.076
2.120 2.076 2.076
2.120 0.000 0.000
```

Properties
Total moment   0.00 Bohr magnetons per cell
Symmetry   P4/mmm, No. 123
E_tot   -25.508 eV per cell
ΔH_f (0 K)   -3.5 eV per formula unit
Calculated volume   18.27 Å³/atom
DOS at the Fermi energy   5.0 states/eV/cell
ρ   14.6 g cm⁻³